# 1
DFT (PBE-GGA) results for a relaxed Sr5HoBi5 crystal.

a b c (Å): 15.6744 6.6631 9.3102
angles (deg): 90.00 107.98 90.00
Last column: nearest neighbours and their distance in Å.
Space group C2/m (No. 12)
Inequivalent atoms, fractional coordinates:
Sr  0.0000  0.0000  0.0000 [2 per cell]  4 Bi 3.27-3.37
Sr  0.1753  0.5000  0.3499 [4 per cell]  5 Bi 3.35-3.47
Sr  0.1864  0.5000  0.8233 [4 per cell]  5 Bi 3.36-3.49
Ho  0.0000  0.0000  0.5000 [2 per cell]  6 Bi 3.15-3.33
Bi  0.0000  0.5000  0.5000 [2 per cell]  2 Ho 3.33, 4 Sr 3.45-3.49
Bi  0.1480  0.0000  0.3358 [4 per cell]  1 Ho 3.15, 5 Sr 3.27-3.36
Bi  0.1571  0.0000  0.8209 [4 per cell]  1 Ho 3.23, 5 Sr 3.36-3.47

Output
Calculated formation energy in eV per atom: -0.706
Total magnetization in μB/cell: 0.0
D(E_F) in states/eV/atom: 0.875
Final energy in eV per atom: -3.65

***

# 2
DFT (PBE-GGA) results for a relaxed SrHo4Bi5 crystal.

a b c (Å): 4.4978 6.4164 22.8135
angles (deg): 90.00 90.00 90.00
Last column: nearest neighbours and their distance in Å.
Space group Immm (No. 71)
Inequivalent atoms, fractional coordinates:
Sr  0.0000  0.0000  0.0000 [2 per cell]  6 Bi 3.21-3.35
Ho  0.0000  0.0000  0.2034 [4 per cell]  6 Bi 3.11-3.21
Ho  0.0000  0.0000  0.4012 [4 per cell]  6 Bi 3.18-3.22
Bi  0.0000  0.5000  0.0000 [2 per cell]  4 Ho 3.18, 2 Sr 3.21
Bi  0.0000  0.5000  0.1984 [4 per cell]  6 Ho 3.17-3.21
Bi  0.0000  0.5000  0.3910 [4 per cell]  4 Ho 3.11-3.22, 2 Sr 3.35

Output
Calculated formation energy in eV per atom: -0.797
Total magnetization in μB/cell: 0.0
D(E_F) in states/eV/atom: 0.317
Final energy in eV per atom: -4.74

***

# 3
DFT (PBE-GGA) results for a relaxed Sr5HoBi4 crystal.

a b c (Å): 19.9880 4.9806 8.6518
angles (deg): 90.00 102.46 90.00
Last column: nearest neighbours and their distance in Å.
Space group C2/m (No. 12)
Inequivalent atoms, fractional coordinates:
Sr  0.0000  0.0000  0.0000 [2 per cell]  4 Bi 3.47
Sr  0.1542  0.5000  0.4629 [4 per cell]  4 Bi 3.41-3.56
Sr  0.1718  0.5000  0.9731 [4 per cell]  4 Bi 3.25-3.48
Ho  0.0000  0.0000  0.5000 [2 per cell]  4 Bi 3.19
Bi  0.0215  0.5000  0.7355 [4 per cell]  2 Ho 3.19, 4 Sr 3.25-3.56
Bi  0.1963  0.0000  0.2326 [4 per cell]  6 Sr 3.32-3.53

Output
Calculated formation energy in eV per atom: -0.738
Total magnetization in μB/cell: 1.9
D(E_F) in states/eV/atom: 0.204
Final energy in eV per atom: -3.59

***

# 4
DFT (PBE-GGA) results for a relaxed SrHoBi2 crystal.

a b c (Å): 3.8709 3.8709 8.5939
angles (deg): 90.00 90.00 90.00
Last column: nearest neighbours and their distance in Å.
Space group P4/mmm (No. 123)
Inequivalent atoms, fractional coordinates:
Sr  0.0000  0.0000  0.0000 [1 per cell]  8 Bi 3.60, 4 Sr 3.87
Ho  0.0000  0.0000  0.5000 [1 per cell]  8 Bi 3.37
Bi  0.5000  0.5000  0.2718 [2 per cell]  4 Ho 3.37, 4 Sr 3.60

Output
Calculated formation energy in eV per atom: -0.668
Total magnetization in μB/cell: 0.0
D(E_F) in states/eV/atom: 0.602
Energy above the lowest structure with this stoichiometry in meV/atom: 86.4
Final energy in eV per atom: -4.17

***

# 5
DFT (PBE-GGA) results for a relaxed Tb3HoBi2 crystal.

a b c (Å): 4.5536 4.5536 8.6544
angles (deg): 90.00 90.00 90.00
Last column: nearest neighbours and their distance in Å.
Space group P-4m2 (No. 115)
Inequivalent atoms, fractional coordinates:
Tb  0.0000  0.0000  0.0000 [1 per cell]  4 Ho 3.22, 4 Bi 3.34
Tb  0.0000  0.5000  0.6530 [2 per cell]  5 Bi 3.20-3.27
Ho  0.5000  0.5000  0.0000 [1 per cell]  4 Tb 3.22, 4 Bi 3.34
Bi  0.0000  0.5000  0.2829 [2 per cell]  7 Tb 3.20-3.34, 2 Ho 3.34

Output
Calculated formation energy in eV per atom: -0.604
Total magnetization in μB/cell: 0.0
D(E_F) in states/eV/atom: 0.768
Energy above the lowest structure with this stoichiometry in meV/atom: 0.0
Final energy in eV per atom: -4.98

***

# 6
DFT (PBE-GGA) results for a relaxed Tb2HoBi crystal.

a b c (Å): 4.6377 4.6005 11.6078
angles (deg): 90.00 101.54 90.00
Last column: nearest neighbours and their distance in Å.
Space group P2_1/m (No. 11)
Inequivalent atoms, fractional coordinates:
Tb  0.0597  0.2500  0.1193 [2 per cell]  8 Tb 3.27-3.61, 2 Bi 3.41
Tb  0.4378  0.2500  0.8759 [2 per cell]  8 Tb 3.27-3.64, 2 Bi 3.39
Ho  0.3085  0.7500  0.6183 [2 per cell]  5 Bi 3.15-3.30
Bi  0.1715  0.7500  0.3412 [2 per cell]  5 Ho 3.15-3.30, 4 Tb 3.39-3.41

Output
Calculated formation energy in eV per atom: -0.403
Total magnetization in μB/cell: 0.0
D(E_F) in states/eV/atom: 1.014
Energy above the lowest structure with this stoichiometry in meV/atom: 0.0
Final energy in eV per atom: -4.83

***

Q: What is the calculated formation energy in the sixth record?
A: -0.403 eV per atom

***

Q: Which of these has the lowest D(E_F)?
A: Sr5HoBi4

***

Q: The highest final energy belongs to which entry?
A: Sr5HoBi4